# CuBS2Cl

Crystalline CuBS2Cl at its relaxed geometry (GGA-PBEsol, the Alexandria database).

Summary:
**Raw formation energy**: 1.16 eV/atom
**Theoretical density**: 3.16 g cm⁻³
**Symmetry**: P4/mmm (123)

Unit cell a=4.420 b=4.420 c=4.680 alpha=90.00 beta=90.00 gamma=90.00
Fractional positions:
S (0.000, 0.500, 0.000)
S (0.500, 0.000, 0.000)
B (0.500, 0.500, 0.500)
Cu (0.000, 0.000, 0.000)
Cl (0.000, 0.000, 0.500)

# SrCuB2Cl

Crystalline SrCuB2Cl at its relaxed geometry (GGA-PBEsol, the Alexandria database).

Summary:
**Raw formation energy**: 0.26 eV/atom
**Theoretical density**: 3.76 g cm⁻³
**Symmetry**: P4/mmm (123)

Unit cell a=3.883 b=3.883 c=6.103 alpha=90.00 beta=90.00 gamma=90.00
Fractional positions:
Sr (0.500, 0.500, 0.500)
B (0.000, 0.500, 0.000)
B (0.500, 0.000, 0.000)
Cu (0.000, 0.000, 0.000)
Cl (0.000, 0.000, 0.500)

# Dy4BClO7

Crystalline Dy4BClO7 at its relaxed geometry (GGA-PBEsol, the Alexandria database).

Summary:
**Raw formation energy**: -3.36 eV/atom
**Theoretical density**: 7.52 g cm⁻³
**Symmetry**: P2_1/c (14)

Unit cell a=7.960 b=8.526 c=10.782 alpha=77.18 beta=90.00 gamma=90.00
Fractional positions:
Dy (0.376, 0.018, 0.779)
Dy (0.124, 0.518, 0.279)
Dy (0.624, 0.982, 0.221)
Dy (0.876, 0.482, 0.721)
Dy (0.382, 0.333, 0.091)
Dy (0.118, 0.833, 0.591)
Dy (0.618, 0.667, 0.909)
Dy (0.882, 0.167, 0.409)
Dy (0.360, 0.151, 0.420)
Dy (0.140, 0.651, 0.920)
Dy (0.640, 0.849, 0.580)
Dy (0.860, 0.349, 0.080)
Dy (0.386, 0.461, 0.719)
Dy (0.114, 0.961, 0.219)
Dy (0.614, 0.539, 0.281)
Dy (0.886, 0.039, 0.781)
B (0.132, 0.282, 0.586)
B (0.368, 0.782, 0.086)
B (0.868, 0.718, 0.414)
B (0.632, 0.218, 0.914)
Cl (0.152, 0.148, 0.968)
Cl (0.348, 0.648, 0.468)
Cl (0.848, 0.852, 0.032)
Cl (0.652, 0.352, 0.532)
O (0.378, 0.942, 0.597)
O (0.122, 0.442, 0.097)
O (0.622, 0.058, 0.403)
O (0.878, 0.558, 0.903)
O (0.362, 0.084, 0.226)
O (0.138, 0.584, 0.726)
O (0.638, 0.916, 0.774)
O (0.862, 0.416, 0.274)
O (0.382, 0.397, 0.282)
O (0.118, 0.897, 0.782)
O (0.618, 0.603, 0.718)
O (0.882, 0.103, 0.218)
O (0.379, 0.519, 0.907)
O (0.121, 0.019, 0.407)
O (0.621, 0.481, 0.093)
O (0.879, 0.981, 0.593)
O (0.110, 0.318, 0.456)
O (0.390, 0.818, 0.956)
O (0.890, 0.682, 0.544)
O (0.610, 0.182, 0.044)
O (0.997, 0.269, 0.667)
O (0.503, 0.769, 0.167)
O (0.003, 0.731, 0.333)
O (0.497, 0.231, 0.833)
O (0.292, 0.250, 0.633)
O (0.208, 0.750, 0.133)
O (0.708, 0.750, 0.367)
O (0.792, 0.250, 0.867)

# Eu2B5ClO9

Crystalline Eu2B5ClO9 at its relaxed geometry (GGA-PBEsol, the Alexandria database).

Summary:
**Raw formation energy**: -2.66 eV/atom
**Theoretical density**: 4.31 g cm⁻³
**Symmetry**: Pnn2 (34)

Unit cell a=6.492 b=11.251 c=11.329 alpha=90.00 beta=90.00 gamma=90.00
Fractional positions:
Eu (0.332, 0.757, 0.972)
Eu (0.495, 0.550, 0.248)
Eu (0.995, 0.950, 0.748)
Eu (0.995, 0.050, 0.252)
Eu (0.495, 0.450, 0.752)
Eu (0.832, 0.743, 0.472)
Eu (0.832, 0.257, 0.528)
Eu (0.332, 0.243, 0.028)
B (0.191, 0.328, 0.274)
B (0.338, 0.200, 0.688)
B (0.962, 0.501, 0.254)
B (0.296, 0.766, 0.536)
B (0.796, 0.266, 0.964)
B (0.462, 0.001, 0.246)
B (0.962, 0.499, 0.746)
B (0.838, 0.700, 0.812)
B (0.338, 0.800, 0.312)
B (0.838, 0.300, 0.188)
B (0.022, 0.721, 0.206)
B (0.022, 0.279, 0.794)
B (0.462, 0.999, 0.754)
B (0.691, 0.172, 0.774)
B (0.191, 0.672, 0.726)
B (0.522, 0.779, 0.706)
B (0.691, 0.828, 0.226)
B (0.296, 0.234, 0.464)
B (0.796, 0.734, 0.036)
B (0.522, 0.221, 0.294)
Cl (0.895, 0.000, 0.500)
Cl (0.147, 0.000, 0.000)
Cl (0.647, 0.500, 0.500)
Cl (0.395, 0.500, 0.000)
O (0.650, 0.043, 0.785)
O (0.150, 0.543, 0.715)
O (0.233, 0.230, 0.578)
O (0.490, 0.210, 0.424)
O (0.490, 0.790, 0.576)
O (0.309, 0.929, 0.288)
O (0.733, 0.730, 0.922)
O (0.418, 0.881, 0.768)
O (0.142, 0.268, 0.387)
O (0.244, 0.273, 0.781)
O (0.642, 0.232, 0.887)
O (0.918, 0.381, 0.732)
O (0.911, 0.176, 0.746)
O (0.244, 0.727, 0.219)
O (0.911, 0.824, 0.254)
O (0.233, 0.770, 0.422)
O (0.309, 0.071, 0.712)
O (0.809, 0.571, 0.788)
O (0.650, 0.957, 0.215)
O (0.150, 0.457, 0.285)
O (0.561, 0.773, 0.318)
O (0.744, 0.773, 0.719)
O (0.990, 0.710, 0.076)
O (0.733, 0.270, 0.078)
O (0.411, 0.324, 0.246)
O (0.642, 0.768, 0.113)
O (0.061, 0.273, 0.182)
O (0.561, 0.227, 0.682)
O (0.411, 0.676, 0.754)
O (0.809, 0.429, 0.212)
O (0.061, 0.727, 0.818)
O (0.744, 0.227, 0.281)
O (0.142, 0.732, 0.613)
O (0.418, 0.119, 0.232)
O (0.990, 0.290, 0.924)
O (0.918, 0.619, 0.268)

# BCl3F

Crystalline BCl3F at its relaxed geometry (GGA-PBEsol, the Alexandria database).

Summary:
**Raw formation energy**: 0.26 eV/atom
**Theoretical density**: 3.02 g cm⁻³
**Symmetry**: Pm-3m (221)

Unit cell a=4.214 b=4.214 c=4.214 alpha=90.00 beta=90.00 gamma=90.00
Fractional positions:
B (0.000, 0.000, 0.000)
F (0.500, 0.500, 0.500)
Cl (0.000, 0.500, 0.000)
Cl (0.000, 0.000, 0.500)
Cl (0.500, 0.000, 0.000)

# HgBCl2F

Crystalline HgBCl2F at its relaxed geometry (GGA-PBEsol, the Alexandria database).

Summary:
**Raw formation energy**: 0.37 eV/atom
**Theoretical density**: 4.28 g cm⁻³
**Symmetry**: P4/mmm (123)

Unit cell a=4.323 b=5.198 c=5.198 alpha=90.00 beta=90.00 gamma=90.00
Fractional positions:
B (0.500, 0.500, 0.500)
F (0.500, 0.000, 0.000)
Hg (0.000, 0.000, 0.000)
Cl (0.000, 0.000, 0.500)
Cl (0.000, 0.500, 0.000)